First-principles (PBE) data for crystalline Al2BTe at its relaxed geometry, as listed in Alexandria via LeMat-Bulk.

Geometry as extended XYZ:
```
8
Lattice="-4.952 -0.071 -2.351 2.326 -0.966 -4.869 -1.674 -6.068 -2.682" Properties=species:S:1:pos:R:3 pbc="T T T"
Al -3.795 -5.357 -7.822
Al -2.707 -1.674 -2.504
Te 0.000 0.000 0.000
Te -3.969 -3.328 -4.322
B -1.313 -0.518 -3.610
B -0.330 -3.776 -5.581
Al -0.100 -2.137 -4.253
Al -1.998 -5.040 -5.227
```

Theoretical density, g/cm3: 3.77
Calculated total energy, eV/cell: -33.564
E_form (uncorrected), eV/f.u.: 0.52
Crystal system: tetragonal